This record from Alexandria describes crystalline BSb3H at its relaxed geometry. The functional is PBE-GGA.

a = 4.8181 Å, b = 4.8181 Å, c = 4.8181 Å
α = 90.00°, β = 90.00°, γ = 90.00°
With the nearest neighbours (Å) after each atom.
Element x y z (fractional)
B 0.0000 0.0000 0.0000  6 Sb 2.41
Sb 0.0000 0.0000 0.5000  2 B 2.41
Sb 0.0000 0.5000 0.0000  2 B 2.41
Sb 0.5000 0.0000 0.0000  2 B 2.41
H 0.5000 0.5000 0.5000  12 Sb 3.41

Results
For the density of states at the Fermi level, the calculation gives 0.5989 states/eV per atom. The crystal system is cubic. For the offset from the most stable computed form, the calculation gives 0.00 eV per formula unit.

This record from Alexandria describes crystalline HoNi2Rh4 at its relaxed geometry. The functional is PBE-GGA.

a = 5.2403 Å, b = 5.2403 Å, c = 5.2403 Å
α = 123.13°, β = 103.19°, γ = 103.02°
With the nearest neighbours (Å) after each atom.
Element x y z (fractional)
Ho 0.0000 0.0000 0.0000  12 Rh 2.77-3.10
Ni 0.5000 0.2499 0.7499  2 Ni 2.49-2.50, 8 Rh 2.66
Ni 0.5000 0.7501 0.2501  2 Ni 2.49-2.50, 8 Rh 2.66
Rh 0.0002 0.3008 0.6993  4 Rh 2.60-2.66, 4 Ni 2.66, 1 Ho 2.77
Rh 0.9998 0.6992 0.3007  4 Rh 2.60-2.66, 4 Ni 2.66, 1 Ho 2.77
Rh 0.3985 0.6992 0.6993  4 Rh 2.60-2.66, 4 Ni 2.66, 1 Ho 2.77
Rh 0.6015 0.3008 0.3007  4 Rh 2.60-2.66, 4 Ni 2.66, 1 Ho 2.77

Results
For the density of states at the Fermi level, the calculation gives 1.6707 states/eV per atom. The crystal system is orthorhombic. The energy of formation from the pure elements comes out at -0.23 eV per atom.

This record from Alexandria describes crystalline SrPmCuSb at its relaxed geometry. The functional is PBE-GGA.

a = 5.3914 Å, b = 5.3914 Å, c = 5.3914 Å
α = 60.00°, β = 60.00°, γ = 60.00°
With the nearest neighbours (Å) after each atom.
Element x y z (fractional)
Sr 0.0000 0.0000 0.0000  4 Cu 3.30, 4 Sb 3.30
Pm 0.5000 0.5000 0.5000  4 Cu 3.30, 4 Sb 3.30
Cu 0.7500 0.7500 0.7500  4 Pm 3.30, 4 Sr 3.30
Sb 0.2500 0.2500 0.2500  4 Pm 3.30, 4 Sr 3.30

Results
For the density of states at the Fermi level, the calculation gives 0.8666 states/eV per atom. The crystal system is cubic. The formation energy from raw total energies comes out at -439 meV per atom.